This record from Alexandria describes crystalline CaV4O8 at its relaxed geometry. The functional is PBE with a Hubbard U.

Properties
The total magnetic moment comes out at 6.0 μB per formula unit. Its energy above the most stable polymorph in this dataset is 7 meV/atom. The uncorrected energy is -7.658 eV/atom.

a = 14.1461 Å, b = 3.1095 Å, c = 9.8240 Å
α = 90.00°, β = 133.27°, γ = 90.00°
Space group Cm (No. 8)
Asymmetric unit:
Ca  0.0000  0.0000  0.0000
V  0.2483  0.0000  0.9114
V  0.2569  0.5000  0.5886
V  0.4447  0.0000  0.5902
V  0.4507  0.5000  0.2794
O  0.0725  0.0000  0.7370
O  0.1445  0.0000  0.4619
O  0.2608  0.5000  0.0499
O  0.2682  0.5000  0.7969
O  0.3113  0.5000  0.4664
O  0.4038  0.0000  0.7568
O  0.4460  0.0000  0.3975
O  0.4475  0.0000  0.1160

---

This record from Alexandria describes crystalline CaV2O6 at its relaxed geometry. The functional is PBE with a Hubbard U.

Properties
The total magnetic moment comes out at 0.0 μB per formula unit. The calculation puts the density of states at the Fermi level at 0.0 states/eV/cell. Its energy above the most stable polymorph in this dataset is 95 meV/atom. The uncorrected energy is -7.323 eV/atom.

a = 6.6822 Å, b = 6.1676 Å, c = 6.0841 Å
α = 90.00°, β = 90.00°, γ = 90.00°
Space group Pmn2_1 (No. 31)
Asymmetric unit:
Ca  0.0000  0.1506  0.0000
V  0.2493  0.6948  0.9886
O  0.0000  0.2520  0.3719
O  0.0000  0.7685  0.8808
O  0.2418  0.1289  0.7019
O  0.2420  0.4450  0.0981

---

This record from Alexandria describes crystalline CaVO2 at its relaxed geometry. The functional is PBE with a Hubbard U.

Properties
The total magnetic moment comes out at 3.0 μB per formula unit. The calculation puts the density of states at the Fermi level at 5.3 states/eV/cell. Its energy above the most stable polymorph in this dataset is 101 meV/atom. The uncorrected energy is -6.845 eV/atom.

a = 4.9921 Å, b = 4.9921 Å, c = 9.9013 Å
α = 90.00°, β = 90.00°, γ = 90.00°
Space group I-42d (No. 122)
Asymmetric unit:
Ca  0.0000  0.0000  0.0000
V  0.0000  0.0000  0.5000
O  0.2108  0.2500  0.6250

---

This record from Alexandria describes crystalline CaV2O6 at its relaxed geometry. The functional is PBE with a Hubbard U.

Properties
The total magnetic moment comes out at 0.0 μB per formula unit. The calculation puts the density of states at the Fermi level at 0.0 states/eV/cell. Its energy above the most stable polymorph in this dataset is 26 meV/atom. The uncorrected energy is -7.393 eV/atom.

a = 9.4951 Å, b = 3.6585 Å, c = 7.1972 Å
α = 90.00°, β = 113.23°, γ = 90.00°
Space group C2/m (No. 12)
Asymmetric unit:
Ca  0.0000  0.0000  0.0000
V  0.1841  0.0000  0.6310
O  0.0265  0.0000  0.6899
O  0.1677  0.5000  0.1366
O  0.1965  0.5000  0.5638